A plane-wave DFT calculation with GGA-PBE was carried out for an optimized crystal structure of Th3Cu2Ni7.

Values from the calculation:
Magnetic moment ... 0.0 μB per formula unit
Volume ... 186.2 Å³/cell
Crystal system ... trigonal
Formation energy ... -0.3738 eV per atom

abc: 5.0727 5.0727 8.8517
angles: 73.35 73.35 60.00
Element x y z (fractional)
Th (0.0000, 0.0000, 0.0000)
Th (0.8625, 0.8625, 0.4124)
Th (0.1375, 0.1375, 0.5876)
Cu (0.6675, 0.6675, 0.9976)
Cu (0.3325, 0.3325, 0.0024)
Ni (0.5000, 0.5000, 0.5000)
Ni (0.9160, 0.4190, 0.2461)
Ni (0.4190, 0.9160, 0.2461)
Ni (0.4190, 0.4190, 0.2461)
Ni (0.0840, 0.5810, 0.7539)
Ni (0.5810, 0.5810, 0.7539)
Ni (0.5810, 0.0840, 0.7539)